[1]
An optimized crystal structure of LaPrSnSe. Source: Alexandria, functional PBE.

```
data_LaPrSnSe
_chemical_formula_sum 'La1 Pr1 Sn1 Se1'
_cell_length_a 4.477
_cell_length_b 4.477
_cell_length_c 6.283
_cell_angle_alpha 90.00
_cell_angle_beta 90.00
_cell_angle_gamma 90.00
_space_group_name_H-M_alt 'P 4/m m m'
_space_group_IT_number 123
_space_group_name_Hall '-P 4 2'
loop_
_atom_site_label
_atom_site_type_symbol
_atom_site_fract_x
_atom_site_fract_y
_atom_site_fract_z
La1 La 0.000 0.000 0.000
Pr1 Pr 0.500 0.500 0.500
Sn1 Sn 0.500 0.500 0.000
Se1 Se 0.000 0.000 0.500
```

Results
* formation energy without anion corrections: -1.319 eV/atom
* uncorrected energy: -5.62 eV/atom

[2]
An optimized crystal structure of SrLaPr2Se4. Source: Alexandria, functional PBE.

```
data_SrLaPr2Se4
_chemical_formula_sum 'Sr1 La1 Pr2 Se4'
_cell_length_a 7.471
_cell_length_b 4.290
_cell_length_c 7.495
_cell_angle_alpha 90.00
_cell_angle_beta 109.15
_cell_angle_gamma 90.00
_space_group_name_H-M_alt 'P 1 2/m 1'
_space_group_IT_number 10
loop_
_space_group_symop_operation_xyz
'x,y,z'
'-x,-y,-z'
'-x,y,-z'
'x,-y,z'
loop_
_atom_site_label
_atom_site_type_symbol
_atom_site_fract_x
_atom_site_fract_y
_atom_site_fract_z
Sr1 Sr 0.000 0.000 0.000
La1 La 0.500 0.500 0.000
Pr1 Pr 0.000 0.500 0.500
Pr2 Pr 0.500 0.000 0.500
Se1 Se 0.250 0.000 0.748
Se2 Se 0.253 0.500 0.254
```

Results
* formation energy without anion corrections: -1.919 eV/atom
* uncorrected energy: -5.68 eV/atom

[3]
An optimized crystal structure of SrLaPr4Se8. Source: Alexandria, functional PBE.

```
data_SrLaPr4Se8
_chemical_formula_sum 'Sr3 La3 Pr12 Se24'
_cell_length_a 8.8208
_cell_length_b 8.8208
_cell_length_c 21.8101
_cell_angle_alpha 90.00
_cell_angle_beta 90.00
_cell_angle_gamma 120.00
_space_group_name_H-M_alt 'R 3 m'
_space_group_IT_number 160
_space_group_name_Hall 'R 3 -2"'
loop_
_atom_site_label
_atom_site_type_symbol
_atom_site_fract_x
_atom_site_fract_y
_atom_site_fract_z
Sr1 Sr 0.0000 0.0000 0.0000
La1 La 0.0000 0.0000 0.6273
Pr1 Pr 0.0000 0.0000 0.2510
Pr2 Pr 0.1689 0.3378 0.4584
Se1 Se 0.0000 0.0000 0.3833
Se2 Se 0.0000 0.0000 0.8643
Se3 Se 0.0297 0.5148 0.3800
Se4 Se 0.1769 0.3538 0.2059
```

Results
* formation energy without anion corrections: -1.824 eV/atom
* uncorrected energy: -5.65 eV/atom

[4]
An optimized crystal structure of SrLa2PrSe4. Source: Alexandria, functional PBE.

```
data_SrLa2PrSe4
_chemical_formula_sum 'Sr1 La2 Pr1 Se4'
_cell_length_a 7.484
_cell_length_b 4.309
_cell_length_c 7.519
_cell_angle_alpha 90.00
_cell_angle_beta 109.22
_cell_angle_gamma 90.00
_space_group_name_H-M_alt 'P 1 2/m 1'
_space_group_IT_number 10
loop_
_space_group_symop_operation_xyz
'x,y,z'
'-x,-y,-z'
'-x,y,-z'
'x,-y,z'
loop_
_atom_site_label
_atom_site_type_symbol
_atom_site_fract_x
_atom_site_fract_y
_atom_site_fract_z
Sr1 Sr 0.000 0.000 0.000
La1 La 0.500 0.000 0.500
La2 La 0.500 0.500 0.000
Pr1 Pr 0.000 0.500 0.500
Se1 Se 0.249 0.000 0.749
Se2 Se 0.251 0.500 0.252
```

Results
* formation energy without anion corrections: -1.951 eV/atom
* uncorrected energy: -5.73 eV/atom

[5]
An optimized crystal structure of SrLa3Pr2Se6. Source: Alexandria, functional PBE.

```
data_SrLa3Pr2Se6
_chemical_formula_sum 'Sr2 La6 Pr4 Se12'
_cell_length_a 7.471
_cell_length_b 12.957
_cell_length_c 7.459
_cell_angle_alpha 90.00
_cell_angle_beta 109.46
_cell_angle_gamma 90.00
_space_group_name_H-M_alt 'C 1 2/m 1'
_space_group_IT_number 12
loop_
_space_group_symop_operation_xyz
'x,y,z'
'-x,-y,-z'
'-x,y,-z'
'x,-y,z'
'x+1/2,y+1/2,z'
'-x+1/2,-y+1/2,-z'
'-x+1/2,y+1/2,-z'
'x+1/2,-y+1/2,z'
loop_
_atom_site_label
_atom_site_type_symbol
_atom_site_fract_x
_atom_site_fract_y
_atom_site_fract_z
Sr1 Sr 0.000 0.000 0.000
La1 La 0.000 0.166 0.500
La2 La 0.000 0.500 0.500
Pr1 Pr 0.000 0.333 0.000
Se1 Se 0.248 0.500 0.248
Se2 Se 0.249 0.333 0.750
```

Results
* formation energy without anion corrections: -1.943 eV/atom
* uncorrected energy: -5.85 eV/atom

[6]
An optimized crystal structure of LaTb3Pr4Se8. Source: Alexandria, functional PBE.

```
data_LaTb3Pr4Se8
_chemical_formula_sum 'La3 Tb9 Pr12 Se24'
_cell_length_a 8.3838
_cell_length_b 8.3838
_cell_length_c 20.8167
_cell_angle_alpha 90.00
_cell_angle_beta 90.00
_cell_angle_gamma 120.00
_space_group_name_H-M_alt 'R -3 m'
_space_group_IT_number 166
_space_group_name_Hall '-R 3 2"'
loop_
_atom_site_label
_atom_site_type_symbol
_atom_site_fract_x
_atom_site_fract_y
_atom_site_fract_z
La1 La 0.0000 0.0000 0.0000
Tb1 Tb 0.0000 0.5000 0.0000
Pr1 Pr 0.0000 0.0000 0.5000
Pr2 Pr 0.0000 0.5000 0.5000
Se1 Se 0.0000 0.0000 0.2554
Se2 Se 0.0078 0.5039 0.2535
```

Results
* formation energy without anion corrections: -1.833 eV/atom
* uncorrected energy: -5.95 eV/atom

[7]
An optimized crystal structure of La3Tb4PrSe8. Source: Alexandria, functional PBE.

```
data_La3Tb4PrSe8
_chemical_formula_sum 'La9 Tb12 Pr3 Se24'
_cell_length_a 8.3419
_cell_length_b 8.3419
_cell_length_c 20.8481
_cell_angle_alpha 90.00
_cell_angle_beta 90.00
_cell_angle_gamma 120.00
_space_group_name_H-M_alt 'R -3 m'
_space_group_IT_number 166
_space_group_name_Hall '-R 3 2"'
loop_
_atom_site_label
_atom_site_type_symbol
_atom_site_fract_x
_atom_site_fract_y
_atom_site_fract_z
La1 La 0.0000 0.5000 0.0000
Tb1 Tb 0.0000 0.0000 0.5000
Tb2 Tb 0.0000 0.5000 0.5000
Pr1 Pr 0.0000 0.0000 0.0000
Se1 Se 0.0000 0.0000 0.2441
Se2 Se 0.9996 0.4998 0.2443
```

Results
* formation energy without anion corrections: -1.871 eV/atom
* uncorrected energy: -5.99 eV/atom

[8]
An optimized crystal structure of La4TbPr3Se8. Source: Alexandria, functional PBE.

```
data_La4TbPr3Se8
_chemical_formula_sum 'La12 Tb3 Pr9 Se24'
_cell_length_a 8.5499
_cell_length_b 8.5499
_cell_length_c 20.8635
_cell_angle_alpha 90.00
_cell_angle_beta 90.00
_cell_angle_gamma 120.00
_space_group_name_H-M_alt 'R -3 m'
_space_group_IT_number 166
_space_group_name_Hall '-R 3 2"'
loop_
_atom_site_label
_atom_site_type_symbol
_atom_site_fract_x
_atom_site_fract_y
_atom_site_fract_z
La1 La 0.0000 0.0000 0.0000
La2 La 0.0000 0.5000 0.0000
Tb1 Tb 0.0000 0.0000 0.5000
Pr1 Pr 0.0000 0.5000 0.5000
Se1 Se 0.0000 0.0000 0.2495
Se2 Se 0.0074 0.5037 0.2476
```

Results
* formation energy without anion corrections: -1.913 eV/atom
* uncorrected energy: -6.07 eV/atom

[9]
An optimized crystal structure of La3TbPr4Se8. Source: Alexandria, functional PBE.

```
data_La3TbPr4Se8
_chemical_formula_sum 'La9 Tb3 Pr12 Se24'
_cell_length_a 8.5349
_cell_length_b 8.5349
_cell_length_c 20.8623
_cell_angle_alpha 90.00
_cell_angle_beta 90.00
_cell_angle_gamma 120.00
_space_group_name_H-M_alt 'R -3 m'
_space_group_IT_number 166
_space_group_name_Hall '-R 3 2"'
loop_
_atom_site_label
_atom_site_type_symbol
_atom_site_fract_x
_atom_site_fract_y
_atom_site_fract_z
La1 La 0.0000 0.5000 0.0000
Tb1 Tb 0.0000 0.0000 0.0000
Pr1 Pr 0.0000 0.0000 0.5000
Pr2 Pr 0.0000 0.5000 0.5000
Se1 Se 0.0000 0.0000 0.2495
Se2 Se 0.0082 0.5041 0.7484
```

Results
* formation energy without anion corrections: -1.891 eV/atom
* uncorrected energy: -6.04 eV/atom

[10]
An optimized crystal structure of LaTbPr2Se5. Source: Alexandria, functional PBE.

```
data_LaTbPr2Se5
_chemical_formula_sum 'La1 Tb1 Pr2 Se5'
_cell_length_a 5.177
_cell_length_b 5.177
_cell_length_c 11.070
_cell_angle_alpha 90.00
_cell_angle_beta 90.00
_cell_angle_gamma 90.00
_space_group_name_H-M_alt 'P 4/m m m'
_space_group_IT_number 123
_space_group_name_Hall '-P 4 2'
loop_
_atom_site_label
_atom_site_type_symbol
_atom_site_fract_x
_atom_site_fract_y
_atom_site_fract_z
La1 La 0.000 0.000 0.000
Tb1 Tb 0.000 0.000 0.500
Pr1 Pr 0.500 0.500 0.329
Se1 Se 0.000 0.000 0.250
Se2 Se 0.000 0.500 0.500
Se3 Se 0.500 0.500 0.000
```

Results
* formation energy without anion corrections: -1.358 eV/atom
* uncorrected energy: -5.42 eV/atom

Please write out number 3 again, unchanged.
An optimized crystal structure of SrLaPr4Se8. Source: Alexandria, functional PBE.

```
data_SrLaPr4Se8
_chemical_formula_sum 'Sr3 La3 Pr12 Se24'
_cell_length_a 8.8208
_cell_length_b 8.8208
_cell_length_c 21.8101
_cell_angle_alpha 90.00
_cell_angle_beta 90.00
_cell_angle_gamma 120.00
_space_group_name_H-M_alt 'R 3 m'
_space_group_IT_number 160
_space_group_name_Hall 'R 3 -2"'
loop_
_atom_site_label
_atom_site_type_symbol
_atom_site_fract_x
_atom_site_fract_y
_atom_site_fract_z
Sr1 Sr 0.0000 0.0000 0.0000
La1 La 0.0000 0.0000 0.6273
Pr1 Pr 0.0000 0.0000 0.2510
Pr2 Pr 0.1689 0.3378 0.4584
Se1 Se 0.0000 0.0000 0.3833
Se2 Se 0.0000 0.0000 0.8643
Se3 Se 0.0297 0.5148 0.3800
Se4 Se 0.1769 0.3538 0.2059
```

Results
* formation energy without anion corrections: -1.824 eV/atom
* uncorrected energy: -5.65 eV/atom

Q: Which of these has the lowest uncorrected energy?
A: La4TbPr3Se8

Q: Which value of formation energy without anion corrections does entry 7 give?
A: -1.871 eV/atom

Q: The lowest uncorrected energy belongs to which entry?
A: La4TbPr3Se8